Record 1
## CaAs2 (GGA-PBE)

Data for a geometry-optimized CaAs2 structure.

Lattice parameters (Å, degrees): 5.791 5.791 5.791 60.00 60.00 60.00
Fractional coordinates of all 6 atoms:
Ca  0.500  0.500  0.500
Ca  0.750  0.750  0.750
As  0.625  0.125  0.125
As  0.125  0.625  0.125
As  0.125  0.125  0.625
As  0.125  0.125  0.125

Output
- N(E_F) (states/eV/cell) = 5.862
- energy (eV/atom) = -4.144
- ρ (Mg/m³) = 4.6
- ΔE_f (eV/atom) = -0.377

---

Record 2
## Ta2BRu (GGA-PBE)

Data for a geometry-optimized Ta2BRu structure.

Lattice parameters (Å, degrees): 7.631 7.631 5.815 49.00 49.00 90.00
Fractional coordinates of all 8 atoms:
Ru  0.000  0.000  0.000
Ru  0.750  0.250  0.500
B  0.500  0.500  0.000
B  0.250  0.750  0.500
Ta  0.502  0.125  0.250
Ta  0.248  0.625  0.250
Ta  0.375  0.498  0.750
Ta  0.875  0.752  0.750

Output
- N(E_F) (states/eV/cell) = 7.889
- energy (eV/atom) = -9.761
- ρ (Mg/m³) = 12.5
- ΔE_f (eV/atom) = 0.154

---

Record 3
## Ca2Sm3Rh2 (GGA-PBE)

Data for a geometry-optimized Ca2Sm3Rh2 structure.

Lattice parameters (Å, degrees): 3.909 6.543 8.621 72.87 76.90 72.62
Fractional coordinates of all 7 atoms:
Ca  0.168  0.469  0.194
Ca  0.832  0.531  0.806
Sm  0.500  0.000  0.000
Sm  0.382  0.805  0.432
Sm  0.618  0.195  0.568
Rh  0.169  0.909  0.754
Rh  0.831  0.091  0.246

Output
- N(E_F) (states/eV/cell) = 4.895
- energy (eV/atom) = -5.159
- ρ (Mg/m³) = 6.2
- ΔE_f (eV/atom) = -0.464

---

Record 4
## ZrRe2F (GGA-PBE)

Data for a geometry-optimized ZrRe2F structure.

Lattice parameters (Å, degrees): 3.536 3.536 10.973 80.73 80.73 90.00
Fractional coordinates of all 8 atoms:
Re  0.637  0.125  0.250
Re  0.113  0.625  0.250
Re  0.375  0.363  0.750
Re  0.875  0.887  0.750
Zr  0.000  0.000  0.000
Zr  0.750  0.250  0.500
F  0.500  0.500  0.000
F  0.250  0.750  0.500

Output
- N(E_F) (states/eV/cell) = 5.251
- energy (eV/atom) = -9.026
- ρ (Mg/m³) = 12.0

---

Record 5
## K2Rb4HgSb2 (GGA-PBE)

Data for a geometry-optimized K2Rb4HgSb2 structure.

Lattice parameters (Å, degrees): 5.805 9.149 9.149 72.93 80.44 80.44
Fractional coordinates of all 9 atoms:
K  0.294  0.639  0.639
K  0.706  0.361  0.361
Rb  0.193  0.649  0.080
Rb  0.807  0.920  0.351
Rb  0.807  0.351  0.920
Rb  0.193  0.080  0.649
Hg  0.500  0.000  0.000
Sb  0.288  0.190  0.190
Sb  0.712  0.810  0.810

Output
- N(E_F) (states/eV/cell) = 1.839
- energy (eV/atom) = -1.904
- ρ (Mg/m³) = 3.2

---

Record 6
## Mn2AgOs (GGA-PBE)

Data for a geometry-optimized Mn2AgOs structure.

Lattice parameters (Å, degrees): 8.957 8.957 8.957 17.95 17.95 17.95
Each line ends with the local moment (μB).
Fractional coordinates of all 4 atoms:
Ag  0.750  0.750  0.750  0.04
Mn  0.995  0.995  0.995  3.22
Mn  0.505  0.505  0.505  3.22
Os  0.250  0.250  0.250  -0.11

Output
- N(E_F) (states/eV/cell) = 2.464
- energy (eV/atom) = -7.782
- ρ (Mg/m³) = 11.4
- ΔE_f (eV/atom) = 0.323

---

Record 7
## YPaCu2 (GGA-PBE)

Data for a geometry-optimized YPaCu2 structure.

Lattice parameters (Å, degrees): 3.296 3.296 7.489 90.00 90.00 90.00
Fractional coordinates of all 4 atoms:
Y  0.500  0.500  0.500
Pa  0.500  0.500  0.000
Cu  0.000  0.000  0.749
Cu  0.000  0.000  0.251

Output
- N(E_F) (states/eV/cell) = 5.328
- energy (eV/atom) = -6.039
- ρ (Mg/m³) = 9.1
- ΔE_f (eV/atom) = -0.001

---

Record 8
## TaMo2Se2S4 (GGA-PBE)

Data for a geometry-optimized TaMo2Se2S4 structure.

Lattice parameters (Å, degrees): 3.283 3.283 21.156 90.00 90.00 120.00
Each line ends with the local moment (μB).
Fractional coordinates of all 9 atoms:
Ta  0.000  0.000  0.329  0.06
Mo  0.000  0.000  0.976  0.00
Mo  0.667  0.333  0.655  0.00
Se  0.667  0.333  0.411  0.01
Se  0.667  0.333  0.246  0.01
S  0.000  0.000  0.582  0.00
S  0.667  0.333  0.048  0.00
S  0.667  0.333  0.903  0.00
S  0.000  0.000  0.727  0.00

Output
- N(E_F) (states/eV/cell) = 3.409
- energy (eV/atom) = -7.140
- ρ (Mg/m³) = 5.5

---

Record 9
## CdCo2Ni (GGA-PBE)

Data for a geometry-optimized CdCo2Ni structure.

Lattice parameters (Å, degrees): 2.698 3.409 5.819 90.00 90.00 90.00
Each line ends with the local moment (μB).
Fractional coordinates of all 4 atoms:
Cd  0.500  0.500  0.750  -0.04
Co  0.000  0.000  0.049  1.59
Co  0.000  0.000  0.451  1.59
Ni  0.500  0.500  0.250  0.71

Output
- N(E_F) (states/eV/cell) = 5.662
- energy (eV/atom) = -4.977
- ρ (Mg/m³) = 9.0
- ΔE_f (eV/atom) = 0.250

---

Record 10
## Nd5Tm3Sc (GGA-PBE)

Data for a geometry-optimized Nd5Tm3Sc structure.

Lattice parameters (Å, degrees): 9.340 9.340 9.563 119.23 119.23 90.00
Fractional coordinates of all 18 atoms:
Nd  0.062  0.562  0.732
Nd  0.670  0.170  0.732
Nd  0.170  0.062  0.732
Nd  0.562  0.670  0.732
Nd  0.938  0.438  0.268
Nd  0.330  0.830  0.268
Nd  0.830  0.938  0.268
Nd  0.438  0.330  0.268
Nd  0.500  0.500  0.000
Nd  0.000  0.000  0.000
Tm  0.610  0.110  0.000
Tm  0.390  0.890  0.000
Tm  0.890  0.610  0.000
Tm  0.110  0.390  0.000
Tm  0.250  0.250  0.500
Tm  0.750  0.750  0.500
Sc  0.750  0.250  0.500
Sc  0.250  0.750  0.500

Output
- N(E_F) (states/eV/cell) = 27.011
- energy (eV/atom) = -4.524
- ρ (Mg/m³) = 7.0
- ΔE_f (eV/atom) = 0.318